# 1
DFT (meta-GGA SCAN) results for CoSbSe2 at its PBEsol-relaxed geometry.

Cell: 3.5689 3.5689 7.4225 Å, 75.81 75.81 60.01°
Last column: nearest neighbours and their distance in Å.
Positions (direct):
Co: 0.5074 0.5074 0.4801  3 Se 2.30
Sb: 0.7618 0.7618 0.7128  3 Co 2.64-2.65, 3 Se 2.76
Se: 0.0080 0.0080 0.9707  3 Sb 2.76
Se: 0.2229 0.2229 0.3364  3 Co 2.30

SG: No. 8
volume: 78.5 Å³/cell
raw formation energy: 15 meV/atom
magnetic moment: 0.00 μB per formula unit

# 2
DFT (meta-GGA SCAN) results for CoSbSe2 at its PBEsol-relaxed geometry.

Cell: 2.9301 2.9301 9.0281 Å, 90.00 90.00 90.00°
Last column: nearest neighbours and their distance in Å.
Positions (direct):
Co: 0.0000 0.0000 0.4694  4 Se 2.39
Sb: 0.5000 0.5000 0.6873  4 Co 2.86, 4 Sb 2.93, 1 Se 3.16
Se: 0.0000 0.0000 0.0061  4 Se 2.93
Se: 0.5000 0.5000 0.3372  4 Co 2.39

SG: No. 99
volume: 77.5 Å³/cell
raw formation energy: 232 meV/atom
magnetic moment: 0.00 μB per formula unit